1.
Here is a geometry-optimized Hf8CrBi2 structure from the Alexandria database. Energies are from GGA-PBE.

abc: 16.665 4.981 6.183
angles: 90.00 106.47 90.00
Space group C2/m (No. 12)
Symmetry-distinct sites (fractional):
Hf1 0.010 0.000 0.247 [4 per cell]
Hf2 0.095 0.500 0.757 [4 per cell]
Hf3 0.136 0.500 0.286 [4 per cell]
Hf4 0.214 0.000 0.108 [4 per cell]
Cr1 0.000 0.500 0.000 [2 per cell]
Bi1 0.174 0.000 0.604 [4 per cell]

Computed properties:
Final energy: -8.667 eV per atom
E_form: 0.152 eV per atom
Volume: 492.2 Å³/cell

=====

2.
Here is a geometry-optimized ScTcC3 structure from the Alexandria database. Energies are from GGA-PBE.

abc: 4.007 4.007 4.007
angles: 90.00 90.00 90.00
Space group Pm-3m (No. 221)
Symmetry-distinct sites (fractional):
Sc1 0.000 0.000 0.000 [1 per cell]
Tc1 0.500 0.500 0.500 [1 per cell]
C1 0.000 0.000 0.500 [3 per cell]

Computed properties:
Final energy: -6.144 eV per atom
E_form: 2.730 eV per atom
Volume: 64.3 Å³/cell

=====

3.
Here is a geometry-optimized LiHgBr2 structure from the Alexandria database. Energies are from GGA-PBE.

abc: 4.048 4.048 15.455
angles: 90.00 90.00 90.00
Space group I-4m2 (No. 119)
Symmetry-distinct sites (fractional):
Li1 0.000 0.000 0.000 [2 per cell]
Hg1 0.000 0.500 0.250 [2 per cell]
Br1 0.000 0.000 0.500 [2 per cell]
Br2 0.000 0.500 0.750 [2 per cell]

Computed properties:
Final energy: -2.110 eV per atom
ΔE_f (raw): -69.48 kJ/mol of atoms
Volume: 253.3 Å³/cell

=====

4.
Here is a geometry-optimized Ce8Cd2Ir3 structure from the Alexandria database. Energies are from GGA-PBE.

abc: 14.154 6.731 8.123
angles: 90.00 111.64 90.00
Space group C2/m (No. 12)
Symmetry-distinct sites (fractional):
Ce1 0.103 0.218 0.379 [8 per cell]
Ce2 0.130 0.000 0.014 [4 per cell]
Ce3 0.144 0.500 0.837 [4 per cell]
Cd1 0.247 0.000 0.746 [4 per cell]
Ir1 0.000 0.303 0.000 [4 per cell]
Ir2 0.000 0.500 0.500 [2 per cell]

Computed properties:
Final energy: -6.082 eV per atom
E_form: -0.245 eV per atom
Volume: 719.3 Å³/cell